# 1
Entry from Alexandria via LeMat-Bulk: LiNdS2 after structural relaxation (GGA-PBEsol).

The value obtained for the total energy is -22.8 eV per cell.

It has space group P4/mmm (No. 123), with a = 3.9937 Å, b = 3.9937 Å, c = 5.4569 Å, α = 90.00°, β = 90.00° and γ = 90.00°. The distinct sites, in fractional coordinates, are Li at (0.0000, 0.0000, 0.0000), Nd at (0.5000, 0.5000, 0.5000), S at (0.0000, 0.0000, 0.5000) and S at (0.5000, 0.5000, 0.0000).

=====

# 2
Entry from Alexandria via LeMat-Bulk: LiNdS2 after structural relaxation (GGA-PBEsol).

The value obtained for the total energy is -92.3 eV per cell.

It has space group I4_1/amd (No. 141, origin choice 2), with a = 5.5680 Å, b = 5.5680 Å, c = 11.2402 Å, α = 90.00°, β = 90.00° and γ = 90.00°. The distinct sites, in fractional coordinates, are Li at (0.0000, 0.2500, 0.3750), Nd at (0.0000, 0.2500, 0.8750) and S at (0.0000, 0.2500, 0.1238).

=====

# 3
Entry from Alexandria via LeMat-Bulk: LiNdS2 after structural relaxation (GGA-PBEsol).

The value obtained for the total energy is -69.4 eV per cell.

It has space group R-3m (No. 166, hexagonal axes), with a = 4.0108 Å, b = 4.0108 Å, c = 18.2892 Å, α = 90.00°, β = 90.00° and γ = 120.00°. The distinct sites, in fractional coordinates, are Li at (0.0000, 0.0000, 0.0000), Nd at (0.0000, 0.0000, 0.5000) and S at (0.0000, 0.0000, 0.2532).

=====

# 4
Entry from Alexandria via LeMat-Bulk: Li3NdSb2 after structural relaxation (GGA-PBEsol).

The value obtained for the total energy is -25.3 eV per cell.

It has space group P-3m1 (No. 164), with a = 4.5459 Å, b = 4.5459 Å, c = 7.2144 Å, α = 90.00°, β = 90.00° and γ = 120.00°. The distinct sites, in fractional coordinates, are Li at (0.0000, 0.0000, 0.0000), Li at (0.3333, 0.6667, 0.1490), Nd at (0.0000, 0.0000, 0.5000) and Sb at (0.3333, 0.6667, 0.7550).

=====

# 5
Entry from Alexandria via LeMat-Bulk: LiNdSe2 after structural relaxation (GGA-PBEsol).

The value obtained for the total energy is -21.2 eV per cell.

It has space group P4/mmm (No. 123), with a = 4.1442 Å, b = 4.1442 Å, c = 5.6973 Å, α = 90.00°, β = 90.00° and γ = 90.00°. The distinct sites, in fractional coordinates, are Li at (0.0000, 0.0000, 0.0000), Nd at (0.5000, 0.5000, 0.5000), Se at (0.0000, 0.0000, 0.5000) and Se at (0.5000, 0.5000, 0.0000).

=====

# 6
Entry from Alexandria via LeMat-Bulk: LiNdSe2 after structural relaxation (GGA-PBEsol).

The value obtained for the total energy is -85.6 eV per cell.

It has space group I4_1/amd (No. 141, origin choice 2), with a = 5.8009 Å, b = 5.8009 Å, c = 11.6134 Å, α = 90.00°, β = 90.00° and γ = 90.00°. The distinct sites, in fractional coordinates, are Li at (0.0000, 0.2500, 0.3750), Nd at (0.0000, 0.2500, 0.8750) and Se at (0.0000, 0.2500, 0.1260).

=====

# 7
Entry from Alexandria via LeMat-Bulk: Li2Nd2Si3 after structural relaxation (GGA-PBEsol).

The value obtained for the total energy is -144.2 eV per cell.

It has space group Cmcm (No. 63), with a = 4.3584 Å, b = 18.3300 Å, c = 6.7426 Å, α = 90.00°, β = 90.00° and γ = 90.00°. The distinct sites, in fractional coordinates, are Li at (0.0000, 0.1885, 0.0609), Nd at (0.0000, 0.3419, 0.2500), Nd at (0.0000, 0.4485, 0.7500), Si at (0.0000, 0.0583, 0.5741) and Si at (0.0000, 0.2802, 0.7500).

=====

# 8
Entry from Alexandria via LeMat-Bulk: LiNd2Si2 after structural relaxation (GGA-PBEsol).

The value obtained for the total energy is -53.8 eV per cell.

It has space group P4/mbm (No. 127), with a = 7.3433 Å, b = 7.3433 Å, c = 4.2556 Å, α = 90.00°, β = 90.00° and γ = 90.00°. The distinct sites, in fractional coordinates, are Li at (0.0000, 0.0000, 0.0000), Nd at (0.1809, 0.3191, 0.5000) and Si at (0.1148, 0.6148, 0.0000).

=====

# 9
Entry from Alexandria via LeMat-Bulk: LiNdSn after structural relaxation (GGA-PBEsol).

The value obtained for the total energy is -107.6 eV per cell. The energy of formation comes out at -0.686 eV/atom.

It has space group P6_3mc (No. 186), with a = 9.4300 Å, b = 9.4300 Å, c = 7.5672 Å, α = 90.00°, β = 90.00° and γ = 120.00°. The distinct sites, in fractional coordinates, are Li at (0.1667, 0.3335, 0.0000), Li at (0.3333, 0.6667, 0.3925), Nd at (0.0000, 0.0000, 0.2115), Nd at (0.0215, 0.5108, 0.7088), Sn at (0.1666, 0.3333, 0.4426) and Sn at (0.3333, 0.6667, 0.9779).

=====

# 10
Entry from Alexandria via LeMat-Bulk: LiNdSn after structural relaxation (GGA-PBEsol).

The value obtained for the total energy is -51.7 eV per cell. The energy of formation comes out at -0.514 eV/atom.

It has space group F-43m (No. 216), with a = 6.6392 Å, b = 6.6392 Å, c = 6.6392 Å, α = 90.00°, β = 90.00° and γ = 90.00°. The distinct sites, in fractional coordinates, are Li at (0.0000, 0.0000, 0.0000), Nd at (0.2500, 0.2500, 0.7500) and Sn at (0.2500, 0.2500, 0.2500).

=====

# 11
Entry from Alexandria via LeMat-Bulk: LiNdTl2 after structural relaxation (GGA-PBEsol).

The value obtained for the total energy is -55.9 eV per cell. The energy of formation comes out at -0.396 eV/atom.

It has space group Fm-3m (No. 225), with a = 7.3511 Å, b = 7.3511 Å, c = 7.3511 Å, α = 90.00°, β = 90.00° and γ = 90.00°. The distinct sites, in fractional coordinates, are Li at (0.0000, 0.0000, 0.0000), Nd at (0.0000, 0.0000, 0.5000) and Tl at (0.2500, 0.2500, 0.2500).

=====

# 12
Entry from Alexandria via LeMat-Bulk: LiNi after structural relaxation (GGA-PBEsol).

The value obtained for the total energy is -16.2 eV per cell. The energy of formation comes out at 0.005 eV/atom.

It has space group Pmmn (No. 59, origin choice 2), with a = 2.5299 Å, b = 4.1260 Å, c = 4.1611 Å, α = 90.00°, β = 90.00° and γ = 90.00°. The distinct sites, in fractional coordinates, are Li at (0.2500, 0.2500, 0.0138) and Ni at (0.2500, 0.7500, 0.4900).

=====

# 13
Entry from Alexandria via LeMat-Bulk: LiNi3 after structural relaxation (GGA-PBEsol).

The value obtained for the total energy is -60.9 eV per cell. The energy of formation comes out at 0.037 eV/atom.

It has space group R-3m (No. 166, hexagonal axes), with a = 7.7771 Å, b = 7.7771 Å, c = 2.3759 Å, α = 90.00°, β = 90.00° and γ = 120.00°. The distinct sites, in fractional coordinates, are Li at (0.0000, 0.0000, 0.0000) and Ni at (0.0000, 0.5000, 0.0000).

=====

# 14
Entry from Alexandria via LeMat-Bulk: LiNi2 after structural relaxation (GGA-PBEsol).

The value obtained for the total energy is -28.1 eV per cell. The energy of formation comes out at 0.076 eV/atom.

It has space group Immm (No. 71), with a = 2.4051 Å, b = 3.6285 Å, c = 7.2633 Å, α = 90.00°, β = 90.00° and γ = 90.00°. The distinct sites, in fractional coordinates, are Li at (0.0000, 0.0000, 0.0000) and Ni at (0.0000, 0.0000, 0.3273).

=====

# 15
Entry from Alexandria via LeMat-Bulk: Li17Ni12 after structural relaxation (GGA-PBEsol).

The value obtained for the total energy is -211.2 eV per cell. The energy of formation comes out at 0.059 eV/atom.

It has space group I-43m (No. 217), with a = 8.9879 Å, b = 8.9879 Å, c = 8.9879 Å, α = 90.00°, β = 90.00° and γ = 90.00°. The distinct sites, in fractional coordinates, are Li at (0.0000, 0.0000, 0.0000), Li at (0.0462, 0.3604, 0.6396), Li at (0.1777, 0.1777, 0.1777) and Ni at (0.0884, 0.0884, 0.7312).

=====

# 16
Entry from Alexandria via LeMat-Bulk: LiNi3 after structural relaxation (GGA-PBEsol).

The value obtained for the total energy is -40.8 eV per cell. The energy of formation comes out at 0.015 eV/atom.

It has space group C2/m (No. 12), with a = 8.1798 Å, b = 2.4216 Å, c = 4.2562 Å, α = 90.00°, β = 98.92° and γ = 90.00°. The distinct sites, in fractional coordinates, are Li at (0.0000, 0.0000, 0.0000), Ni at (0.0000, 0.5000, 0.5000) and Ni at (0.2438, 0.0000, 0.7438).

=====

# 17
Entry from Alexandria via LeMat-Bulk: LiNi after structural relaxation (GGA-PBEsol).

The value obtained for the total energy is -16.0 eV per cell. The energy of formation comes out at 0.073 eV/atom.

It has space group P-3m1 (No. 164), with a = 2.5064 Å, b = 2.5064 Å, c = 8.6474 Å, α = 90.00°, β = 90.00° and γ = 120.00°. The distinct sites, in fractional coordinates, are Li at (0.3333, 0.6667, 0.1520) and Ni at (0.3333, 0.6667, 0.6133).

=====

# 18
Entry from Alexandria via LeMat-Bulk: LiNi2 after structural relaxation (GGA-PBEsol).

The value obtained for the total energy is -14.0 eV per cell. The energy of formation comes out at 0.087 eV/atom.

It has space group P-3m1 (No. 164), with a = 3.9059 Å, b = 3.9059 Å, c = 2.3703 Å, α = 90.00°, β = 90.00° and γ = 120.00°. The distinct sites, in fractional coordinates, are Li at (0.0000, 0.0000, 0.0000) and Ni at (0.3333, 0.6667, 0.7079).

=====

# 19
Entry from Alexandria via LeMat-Bulk: LiNi after structural relaxation (GGA-PBEsol).

The value obtained for the total energy is -16.0 eV per cell. The energy of formation comes out at 0.050 eV/atom.

It has space group P4/nmm (No. 129, origin choice 2), with a = 2.4965 Å, b = 2.4965 Å, c = 7.8973 Å, α = 90.00°, β = 90.00° and γ = 90.00°. The distinct sites, in fractional coordinates, are Li at (0.2500, 0.2500, 0.1641) and Ni at (0.2500, 0.2500, 0.6024).

=====

# 20
Entry from Alexandria via LeMat-Bulk: Li4Ni after structural relaxation (GGA-PBEsol).

The value obtained for the total energy is -25.5 eV per cell. The energy of formation comes out at 0.256 eV/atom.

It has space group Im-3m (No. 229), with a = 5.6459 Å, b = 5.6459 Å, c = 5.6459 Å, α = 90.00°, β = 90.00° and γ = 90.00°. The distinct sites, in fractional coordinates, are Li at (0.2500, 0.2500, 0.2500) and Ni at (0.0000, 0.0000, 0.0000).

=====

# 21
Entry from Alexandria via LeMat-Bulk: LiNi3 after structural relaxation (GGA-PBEsol).

The value obtained for the total energy is -20.4 eV per cell. The energy of formation comes out at 0.022 eV/atom.

It has space group Pmm2 (No. 25), with a = 2.4288 Å, b = 4.0233 Å, c = 4.2463 Å, α = 90.00°, β = 90.00° and γ = 90.00°. The distinct sites, in fractional coordinates, are Li at (0.0000, 0.0000, 0.0000), Ni at (0.0000, 0.5000, 0.3392), Ni at (0.5000, 0.0000, 0.4986) and Ni at (0.5000, 0.5000, 0.8339).

=====

# 22
Entry from Alexandria via LeMat-Bulk: LiNi3 after structural relaxation (GGA-PBEsol).

The value obtained for the total energy is -40.3 eV per cell. The energy of formation comes out at 0.073 eV/atom.

It has space group Cmmm (No. 65), with a = 2.5380 Å, b = 4.0745 Å, c = 8.2463 Å, α = 90.00°, β = 90.00° and γ = 90.00°. The distinct sites, in fractional coordinates, are Li at (0.0000, 0.0000, 0.0000), Ni at (0.0000, 0.0000, 0.5000) and Ni at (0.0000, 0.5000, 0.2546).

=====

# 23
Entry from Alexandria via LeMat-Bulk: Li5Ni after structural relaxation (GGA-PBEsol).

The value obtained for the total energy is -30.8 eV per cell. The energy of formation comes out at 0.101 eV/atom.

It has space group Cmmm (No. 65), with a = 4.0164 Å, b = 11.4010 Å, c = 3.9590 Å, α = 90.00°, β = 90.00° and γ = 90.00°. The distinct sites, in fractional coordinates, are Li at (0.0000, 0.0000, 0.0000), Li at (0.0000, 0.1538, 0.5000), Li at (0.0000, 0.3517, 0.0000) and Ni at (0.0000, 0.5000, 0.5000).

=====

# 24
Entry from Alexandria via LeMat-Bulk: LiNi after structural relaxation (GGA-PBEsol).

The value obtained for the total energy is -32.1 eV per cell. The energy of formation comes out at 0.055 eV/atom.

It has space group Cmcm (No. 63), with a = 2.3738 Å, b = 9.7194 Å, c = 3.8700 Å, α = 90.00°, β = 90.00° and γ = 90.00°. The distinct sites, in fractional coordinates, are Li at (0.0000, 0.0631, 0.2500) and Ni at (0.0000, 0.3000, 0.2500).

=====

# 25
Entry from Alexandria via LeMat-Bulk: LiNi3 after structural relaxation (GGA-PBEsol).

The value obtained for the total energy is -40.5 eV per cell. The energy of formation comes out at 0.053 eV/atom.

It has space group I4/mmm (No. 139), with a = 3.4764 Å, b = 3.4764 Å, c = 6.8337 Å, α = 90.00°, β = 90.00° and γ = 90.00°. The distinct sites, in fractional coordinates, are Li at (0.0000, 0.0000, 0.0000), Ni at (0.0000, 0.0000, 0.5000) and Ni at (0.0000, 0.5000, 0.2500).

=====

# 26
Entry from Alexandria via LeMat-Bulk: LiNi after structural relaxation (GGA-PBEsol).

The value obtained for the total energy is -24.4 eV per cell. The energy of formation comes out at -0.009 eV/atom.

It has space group R-3m (No. 166, hexagonal axes), with a = 2.4575 Å, b = 2.4575 Å, c = 12.4266 Å, α = 90.00°, β = 90.00° and γ = 120.00°. The distinct sites, in fractional coordinates, are Li at (0.0000, 0.0000, 0.0000) and Ni at (0.0000, 0.0000, 0.5000).